1.
A relaxed CaLaYSc crystal. Source: Alexandria, functional PBE.

Calculated values
E_form	0.14	eV per atom
magnetization	0.000	μB per formula unit
V	33.125	A^3/atom

Structure (CIF):
```
data_CaLaYSc
_chemical_formula_sum 'Ca4 La4 Y4 Sc4'
_cell_length_a 8.093
_cell_length_b 8.093
_cell_length_c 8.093
_cell_angle_alpha 90.00
_cell_angle_beta 90.00
_cell_angle_gamma 90.00
_symmetry_space_group_name_H-M 'F -4 3 m'
_symmetry_Int_Tables_number 216
_symmetry_space_group_name_Hall 'F -4 2 3'
loop_
_atom_site_label
_atom_site_type_symbol
_atom_site_fract_x
_atom_site_fract_y
_atom_site_fract_z
Ca1 Ca 0.000 0.000 0.000
La1 La 0.250 0.250 0.250
Y1 Y 0.250 0.250 0.750
Sc1 Sc 0.000 0.000 0.500
```

=====

2.
A relaxed Rb2SrBe crystal. Source: Alexandria, functional PBE.

Calculated values
E_form	0.67	eV per atom
magnetization	0.000	μB per formula unit
V	60.323	A^3/atom

Structure (CIF):
```
data_Rb2SrBe
_chemical_formula_sum 'Rb8 Sr4 Be4'
_cell_length_a 12.365
_cell_length_b 12.365
_cell_length_c 6.313
_cell_angle_alpha 90.00
_cell_angle_beta 90.00
_cell_angle_gamma 90.00
_symmetry_space_group_name_H-M 'I -4 2 d'
_symmetry_Int_Tables_number 122
_symmetry_space_group_name_Hall 'I -4 2bw'
loop_
_atom_site_label
_atom_site_type_symbol
_atom_site_fract_x
_atom_site_fract_y
_atom_site_fract_z
Rb1 Rb 0.126 0.250 0.125
Sr1 Sr 0.000 0.000 0.500
Be1 Be 0.000 0.000 0.000
```

=====

3.
A relaxed Dy2CdAu3 crystal. Source: Alexandria, functional PBE.

Calculated values
E_form	-0.69	eV per atom
magnetization	0.000	μB per formula unit
V	22.189	A^3/atom
energy above the lowest structure with this stoichiometry	50	meV/atom

Structure (CIF):
```
data_Dy2CdAu3
_chemical_formula_sum 'Dy2 Cd1 Au3'
_cell_length_a 3.580
_cell_length_b 3.580
_cell_length_c 10.390
_cell_angle_alpha 90.00
_cell_angle_beta 90.00
_cell_angle_gamma 90.00
_symmetry_space_group_name_H-M 'P 4/m m m'
_symmetry_Int_Tables_number 123
_symmetry_space_group_name_Hall '-P 4 2'
loop_
_atom_site_label
_atom_site_type_symbol
_atom_site_fract_x
_atom_site_fract_y
_atom_site_fract_z
Dy1 Dy 0.000 0.000 0.177
Cd1 Cd 0.000 0.000 0.500
Au1 Au 0.500 0.500 0.000
Au2 Au 0.500 0.500 0.336
```

=====

4.
A relaxed MnCoI2N crystal. Source: Alexandria, functional PBE.

Calculated values
uncorrected formation energy	0.567	eV/atom
magnetization	4.713	μB per formula unit
V	20.760	A^3/atom
energy above the lowest structure with this stoichiometry	0	meV/atom

Structure (CIF):
```
data_MnCoI2N
_chemical_formula_sum 'Mn1 Co1 I2 N1'
_cell_length_a 5.438
_cell_length_b 5.438
_cell_length_c 3.510
_cell_angle_alpha 90.00
_cell_angle_beta 90.00
_cell_angle_gamma 90.00
_symmetry_space_group_name_H-M 'P 4/m m m'
_symmetry_Int_Tables_number 123
_symmetry_space_group_name_Hall '-P 4 2'
loop_
_atom_site_label
_atom_site_type_symbol
_atom_site_fract_x
_atom_site_fract_y
_atom_site_fract_z
Mn1 Mn 0.000 0.000 0.000
Co1 Co 0.500 0.500 0.500
I1 I 0.000 0.500 0.500
N1 N 0.500 0.500 0.000
```

=====

5.
A relaxed MnHg2Cl crystal. Source: Alexandria, functional PBE.

Calculated values
uncorrected formation energy	-0.173	eV/atom
magnetization	4.209	μB per formula unit
V	24.858	A^3/atom
energy above the lowest structure with this stoichiometry	0	meV/atom

Structure (CIF):
```
data_MnHg2Cl
_chemical_formula_sum 'Mn3 Hg6 Cl3'
_cell_length_a 3.4481
_cell_length_b 3.4481
_cell_length_c 28.9700
_cell_angle_alpha 90.00
_cell_angle_beta 90.00
_cell_angle_gamma 120.00
_symmetry_space_group_name_H-M 'R 3 m'
_symmetry_Int_Tables_number 160
_symmetry_space_group_name_Hall 'R 3 -2"'
loop_
_atom_site_label
_atom_site_type_symbol
_atom_site_fract_x
_atom_site_fract_y
_atom_site_fract_z
Mn1 Mn 0.0000 0.0000 0.0000
Hg1 Hg 0.0000 0.0000 0.4976
Hg2 Hg 0.0000 0.0000 0.7361
Cl1 Cl 0.0000 0.0000 0.2827
```

=====

6.
A relaxed MgFe2Ag crystal. Source: Alexandria, functional PBE.

Calculated values
E_form	0.36	eV per atom
magnetization	5.098	μB per formula unit
V	15.059	A^3/atom

Structure (CIF):
```
data_MgFe2Ag
_chemical_formula_sum 'Mg1 Fe2 Ag1'
_cell_length_a 2.748
_cell_length_b 2.748
_cell_length_c 7.979
_cell_angle_alpha 90.00
_cell_angle_beta 90.00
_cell_angle_gamma 90.00
_symmetry_space_group_name_H-M 'P 4/m m m'
_symmetry_Int_Tables_number 123
_symmetry_space_group_name_Hall '-P 4 2'
loop_
_atom_site_label
_atom_site_type_symbol
_atom_site_fract_x
_atom_site_fract_y
_atom_site_fract_z
Mg1 Mg 0.000 0.000 0.000
Fe1 Fe 0.500 0.500 0.249
Ag1 Ag 0.000 0.000 0.500
```

=====

7.
A relaxed CaAc7Pr2 crystal. Source: Alexandria, functional PBE.

Calculated values
E_form	0.52	eV per atom
magnetization	0.000	μB per formula unit
V	52.625	A^3/atom

Structure (CIF):
```
data_CaAc7Pr2
_chemical_formula_sum 'Ca2 Ac14 Pr4'
_cell_length_a 10.239
_cell_length_b 16.602
_cell_length_c 6.192
_cell_angle_alpha 90.00
_cell_angle_beta 90.00
_cell_angle_gamma 90.00
_symmetry_space_group_name_H-M 'C m m m'
_symmetry_Int_Tables_number 65
_symmetry_space_group_name_Hall '-C 2 2'
loop_
_atom_site_label
_atom_site_type_symbol
_atom_site_fract_x
_atom_site_fract_y
_atom_site_fract_z
Ca1 Ca 0.000 0.000 0.000
Ac1 Ac 0.000 0.253 0.000
Ac2 Ac 0.000 0.500 0.500
Ac3 Ac 0.187 0.126 0.500
Pr1 Pr 0.000 0.299 0.500
```

=====

8.
A relaxed LuZrPa2 crystal. Source: Alexandria, functional PBE.

Calculated values
E_form	0.17	eV per atom
magnetization	0.000	μB per formula unit
V	25.381	A^3/atom
energy above the lowest structure with this stoichiometry	0	meV/atom

Structure (CIF):
```
data_LuZrPa2
_chemical_formula_sum 'Lu1 Zr1 Pa2'
_cell_length_a 3.161
_cell_length_b 3.161
_cell_length_c 10.159
_cell_angle_alpha 90.00
_cell_angle_beta 90.00
_cell_angle_gamma 90.00
_symmetry_space_group_name_H-M 'P 4/m m m'
_symmetry_Int_Tables_number 123
_symmetry_space_group_name_Hall '-P 4 2'
loop_
_atom_site_label
_atom_site_type_symbol
_atom_site_fract_x
_atom_site_fract_y
_atom_site_fract_z
Lu1 Lu 0.000 0.000 0.000
Zr1 Zr 0.000 0.000 0.500
Pa1 Pa 0.500 0.500 0.258
```

=====

9.
A relaxed ReB3Mo crystal. Source: Alexandria, functional PBE.

Calculated values
E_form	1.78	eV per atom
magnetization	0.000	μB per formula unit
V	12.445	A^3/atom
energy above the lowest structure with this stoichiometry	1872	meV/atom

Structure (CIF):
```
data_ReB3Mo
_chemical_formula_sum 'Re1 B3 Mo1'
_cell_length_a 3.963
_cell_length_b 3.963
_cell_length_c 3.963
_cell_angle_alpha 90.00
_cell_angle_beta 90.00
_cell_angle_gamma 90.00
_symmetry_space_group_name_H-M 'P m -3 m'
_symmetry_Int_Tables_number 221
_symmetry_space_group_name_Hall '-P 4 2 3'
loop_
_atom_site_label
_atom_site_type_symbol
_atom_site_fract_x
_atom_site_fract_y
_atom_site_fract_z
Re1 Re 0.000 0.000 0.000
B1 B 0.000 0.500 0.500
Mo1 Mo 0.500 0.500 0.500
```

=====

10.
A relaxed Sm4GaS3 crystal. Source: Alexandria, functional PBE.

Calculated values
uncorrected formation energy	-1.693	eV/atom
magnetization	0.000	μB per formula unit
V	23.875	A^3/atom

Structure (CIF):
```
data_Sm4GaS3
_chemical_formula_sum 'Sm4 Ga1 S3'
_cell_length_a 5.759
_cell_length_b 5.759
_cell_length_c 5.759
_cell_angle_alpha 90.00
_cell_angle_beta 90.00
_cell_angle_gamma 90.00
_symmetry_space_group_name_H-M 'P m -3 m'
_symmetry_Int_Tables_number 221
_symmetry_space_group_name_Hall '-P 4 2 3'
loop_
_atom_site_label
_atom_site_type_symbol
_atom_site_fract_x
_atom_site_fract_y
_atom_site_fract_z
Sm1 Sm 0.000 0.000 0.000
Sm2 Sm 0.000 0.500 0.500
Ga1 Ga 0.500 0.500 0.500
S1 S 0.000 0.000 0.500
```

=====

11.
A relaxed Na3Hg2Sb4 crystal. Source: Alexandria, functional PBE.

Calculated values
uncorrected formation energy	-0.176	eV/atom
magnetization	0.000	μB per formula unit
V	29.757	A^3/atom

Structure (CIF):
```
data_Na3Hg2Sb4
_chemical_formula_sum 'Na6 Hg4 Sb8'
_cell_length_a 11.660
_cell_length_b 5.294
_cell_length_c 8.794
_cell_angle_alpha 90.00
_cell_angle_beta 99.38
_cell_angle_gamma 90.00
_symmetry_space_group_name_H-M 'C 1 2/m 1'
_symmetry_Int_Tables_number 12
loop_
_symmetry_equiv_pos_as_xyz
'x,y,z'
'-x,-y,-z'
'-x,y,-z'
'x,-y,z'
'x+1/2,y+1/2,z'
'-x+1/2,-y+1/2,-z'
'-x+1/2,y+1/2,-z'
'x+1/2,-y+1/2,z'
loop_
_atom_site_label
_atom_site_type_symbol
_atom_site_fract_x
_atom_site_fract_y
_atom_site_fract_z
Na1 Na 0.000 0.000 0.000
Na2 Na 0.094 0.500 0.679
Hg1 Hg 0.213 0.500 0.355
Sb1 Sb 0.085 0.000 0.396
Sb2 Sb 0.200 0.500 0.028
```

=====

12.
A relaxed GaP2PtS crystal. Source: Alexandria, functional PBE.

Calculated values
uncorrected formation energy	0.605	eV/atom
magnetization	0.097	μB per formula unit
V	22.199	A^3/atom
energy above the lowest structure with this stoichiometry	0	meV/atom

Structure (CIF):
```
data_GaP2PtS
_chemical_formula_sum 'Ga1 P2 Pt1 S1'
_cell_length_a 4.598
_cell_length_b 4.598
_cell_length_c 5.249
_cell_angle_alpha 90.00
_cell_angle_beta 90.00
_cell_angle_gamma 90.00
_symmetry_space_group_name_H-M 'P 4/m m m'
_symmetry_Int_Tables_number 123
_symmetry_space_group_name_Hall '-P 4 2'
loop_
_atom_site_label
_atom_site_type_symbol
_atom_site_fract_x
_atom_site_fract_y
_atom_site_fract_z
Ga1 Ga 0.000 0.000 0.000
P1 P 0.000 0.500 0.500
Pt1 Pt 0.500 0.500 0.500
S1 S 0.500 0.500 0.000
```

=====

13.
A relaxed Ta2ZnHPd crystal. Source: Alexandria, functional PBE.

Calculated values
magnetization	0.000	μB per formula unit
V	13.586	A^3/atom
energy above the lowest structure with this stoichiometry	0	meV/atom

Structure (CIF):
```
data_Ta2ZnHPd
_chemical_formula_sum 'Ta2 Zn1 H1 Pd1'
_cell_length_a 4.082
_cell_length_b 4.082
_cell_length_c 4.077
_cell_angle_alpha 90.00
_cell_angle_beta 90.00
_cell_angle_gamma 90.00
_symmetry_space_group_name_H-M 'P 4/m m m'
_symmetry_Int_Tables_number 123
_symmetry_space_group_name_Hall '-P 4 2'
loop_
_atom_site_label
_atom_site_type_symbol
_atom_site_fract_x
_atom_site_fract_y
_atom_site_fract_z
Ta1 Ta 0.000 0.500 0.000
Zn1 Zn 0.000 0.000 0.500
H1 H 0.500 0.500 0.000
Pd1 Pd 0.500 0.500 0.500
```

=====

14.
A relaxed Ac2La4Pb3Cl2 crystal. Source: Alexandria, functional PBE.

Calculated values
uncorrected formation energy	-0.822	eV/atom
magnetization	0.007	μB per formula unit
V	35.334	A^3/atom

Structure (CIF):
```
data_Ac2La4Pb3Cl2
_chemical_formula_sum 'Ac4 La8 Pb6 Cl4'
_cell_length_a 5.480
_cell_length_b 5.480
_cell_length_c 25.888
_cell_angle_alpha 90.00
_cell_angle_beta 90.00
_cell_angle_gamma 90.00
_symmetry_space_group_name_H-M 'I 4/m m m'
_symmetry_Int_Tables_number 139
_symmetry_space_group_name_Hall '-I 4 2'
loop_
_atom_site_label
_atom_site_type_symbol
_atom_site_fract_x
_atom_site_fract_y
_atom_site_fract_z
Ac1 Ac 0.000 0.000 0.200
La1 La 0.000 0.500 0.084
Pb1 Pb 0.000 0.000 0.332
Pb2 Pb 0.000 0.000 0.500
Cl1 Cl 0.000 0.000 0.073
```

=====

15.
A relaxed Ba3PuZn2O9 crystal. Source: Alexandria, functional PBE.

Calculated values
uncorrected formation energy	-2.215	eV/atom
magnetization	2.092	μB per formula unit
V	14.735	A^3/atom

Structure (CIF):
```
data_Ba3PuZn2O9
_chemical_formula_sum 'Ba3 Pu1 Zn2 O9'
_cell_length_a 5.8779
_cell_length_b 5.8779
_cell_length_c 7.3869
_cell_angle_alpha 90.00
_cell_angle_beta 90.00
_cell_angle_gamma 120.00
_symmetry_space_group_name_H-M 'P -3 m 1'
_symmetry_Int_Tables_number 164
_symmetry_space_group_name_Hall '-P 3 2"'
loop_
_atom_site_label
_atom_site_type_symbol
_atom_site_fract_x
_atom_site_fract_y
_atom_site_fract_z
Ba1 Ba 0.0000 0.0000 0.0000
Ba2 Ba 0.3333 0.6667 0.6936
Pu1 Pu 0.0000 0.0000 0.5000
Zn1 Zn 0.3333 0.6667 0.1529
O1 O 0.0000 0.5000 0.0000
O2 O 0.1617 0.3234 0.3412
```

=====

16.
A relaxed NbVPd2 crystal. Source: Alexandria, functional PBE.

Calculated values
E_form	0.21	eV per atom
magnetization	0.001	μB per formula unit
V	16.639	A^3/atom
energy above the lowest structure with this stoichiometry	453	meV/atom

Structure (CIF):
```
data_NbVPd2
_chemical_formula_sum 'Nb4 V4 Pd8'
_cell_length_a 7.101
_cell_length_b 7.101
_cell_length_c 5.280
_cell_angle_alpha 90.00
_cell_angle_beta 90.00
_cell_angle_gamma 90.00
_symmetry_space_group_name_H-M 'I -4 2 d'
_symmetry_Int_Tables_number 122
_symmetry_space_group_name_Hall 'I -4 2bw'
loop_
_atom_site_label
_atom_site_type_symbol
_atom_site_fract_x
_atom_site_fract_y
_atom_site_fract_z
Nb1 Nb 0.000 0.000 0.000
V1 V 0.000 0.000 0.500
Pd1 Pd 0.226 0.250 0.625
```

=====

17.
A relaxed K2Na2Tl5Hg2 crystal. Source: Alexandria, functional PBE.

Calculated values
E_form	0.13	eV per atom
magnetization	0.000	μB per formula unit
V	44.174	A^3/atom

Structure (CIF):
```
data_K2Na2Tl5Hg2
_chemical_formula_sum 'K4 Na4 Tl10 Hg4'
_cell_length_a 5.157
_cell_length_b 5.157
_cell_length_c 36.547
_cell_angle_alpha 90.00
_cell_angle_beta 90.00
_cell_angle_gamma 90.00
_symmetry_space_group_name_H-M 'I 4/m m m'
_symmetry_Int_Tables_number 139
_symmetry_space_group_name_Hall '-I 4 2'
loop_
_atom_site_label
_atom_site_type_symbol
_atom_site_fract_x
_atom_site_fract_y
_atom_site_fract_z
K1 K 0.000 0.000 0.206
Na1 Na 0.000 0.000 0.319
Tl1 Tl 0.000 0.000 0.000
Tl2 Tl 0.000 0.500 0.126
Hg1 Hg 0.000 0.000 0.080
```

=====

18.
A relaxed TbDyCoNi crystal. Source: Alexandria, functional PBE.

Calculated values
E_form	-0.25	eV per atom
magnetization	0.039	μB per formula unit
V	18.980	A^3/atom
energy above the lowest structure with this stoichiometry	59	meV/atom

Structure (CIF):
```
data_TbDyCoNi
_chemical_formula_sum 'Tb4 Dy4 Co4 Ni4'
_cell_length_a 6.722
_cell_length_b 6.722
_cell_length_c 6.722
_cell_angle_alpha 90.00
_cell_angle_beta 90.00
_cell_angle_gamma 90.00
_symmetry_space_group_name_H-M 'F -4 3 m'
_symmetry_Int_Tables_number 216
_symmetry_space_group_name_Hall 'F -4 2 3'
loop_
_atom_site_label
_atom_site_type_symbol
_atom_site_fract_x
_atom_site_fract_y
_atom_site_fract_z
Tb1 Tb 0.000 0.000 0.000
Dy1 Dy 0.000 0.000 0.500
Co1 Co 0.250 0.250 0.250
Ni1 Ni 0.250 0.250 0.750
```

=====

19.
A relaxed NdB3Os crystal. Source: Alexandria, functional PBE.

Calculated values
E_form	-0.23	eV per atom
magnetization	0.000	μB per formula unit
V	13.765	A^3/atom

Structure (CIF):
```
data_NdB3Os
_chemical_formula_sum 'Nd4 B12 Os4'
_cell_length_a 3.886
_cell_length_b 12.812
_cell_length_c 5.530
_cell_angle_alpha 90.00
_cell_angle_beta 90.00
_cell_angle_gamma 90.00
_symmetry_space_group_name_H-M 'C m c m'
_symmetry_Int_Tables_number 63
_symmetry_space_group_name_Hall '-C 2c 2'
loop_
_atom_site_label
_atom_site_type_symbol
_atom_site_fract_x
_atom_site_fract_y
_atom_site_fract_z
Nd1 Nd 0.000 0.096 0.250
B1 B 0.000 0.120 0.750
B2 B 0.000 0.254 0.598
Os1 Os 0.000 0.334 0.250
```